The following is a DFT calculation (GGA-PBE) of crystalline Cr3Re at its relaxed geometry.

Unit cell a=2.455 b=4.345 c=4.840 alpha=90.00 beta=90.00 gamma=90.00
Atoms (fractional coordinates):
Re  0.000  0.000  0.018
Cr  0.500  0.000  0.516
Cr  0.500  0.500  0.809
Cr  0.000  0.500  0.323

Output
- energy of formation (eV per atom) = 0.33
- E_tot (eV for the cell shown) = -40.00
- space group = No. 25